Record 1
VASP calculation (GGA-PBE) on Na2SnPd2O6 after structural relaxation.

Cell: 5.4694 5.4694 5.9645 Å, 101.19 101.19 116.86°
Last column: nearest neighbours and their distance in Å.
Fractional positions:
Na 0.1789 0.8211 0.0000  6 O 2.36-2.52
Na 0.8211 0.1789 0.0000  6 O 2.36-2.52
Sn 0.0000 0.0000 0.5000  6 O 2.11-2.15
Pd 0.3352 0.6648 0.5000  4 O 2.04-2.11
Pd 0.6648 0.3352 0.5000  4 O 2.04-2.11
O 0.0425 0.3874 0.7032  1 Pd 2.04, 1 Sn 2.11
O 0.2547 0.2547 0.3099  2 Pd 2.11, 1 Sn 2.15
O 0.3874 0.0425 0.7032  1 Pd 2.04, 1 Sn 2.11
O 0.6126 0.9575 0.2968  1 Pd 2.04, 1 Sn 2.11
O 0.7453 0.7453 0.6901  2 Pd 2.11, 1 Sn 2.15
O 0.9575 0.6126 0.2968  1 Pd 2.04, 1 Sn 2.11

Record 2
VASP calculation (GGA-PBE) on NaSnPdO2 after structural relaxation.

Cell: 4.1426 4.1426 5.1898 Å, 90.00 90.00 90.00°
Last column: nearest neighbours and their distance in Å.
Fractional positions:
Na 0.0000 0.0000 0.0000  4 Pd 2.93
Sn 0.5000 0.5000 0.5000  4 O 2.07
Pd 0.5000 0.5000 0.0000  2 Sn 2.59
O 0.0000 0.5000 0.5000  2 Sn 2.07
O 0.5000 0.0000 0.5000  2 Sn 2.07

Record 3
VASP calculation (GGA-PBE) on Na2SrPdO4 after structural relaxation.

Cell: 5.8179 3.3440 5.9079 Å, 90.00 109.06 90.00°
Last column: nearest neighbours and their distance in Å.
Fractional positions:
Na 0.0000 0.0000 0.0000  6 O 2.65-2.66
Na 0.5000 0.5000 0.0000  6 O 2.37-2.38
Sr 0.0000 0.5000 0.5000  6 O 2.43-2.46
Pd 0.5000 0.0000 0.5000  6 O 2.11-2.14
O 0.2844 0.0000 0.7269  1 Pd 2.11
O 0.3084 0.5000 0.2974  2 Pd 2.14, 1 Na 2.37
O 0.6916 0.5000 0.7026  2 Pd 2.14, 1 Na 2.37
O 0.7156 0.0000 0.2731  1 Pd 2.11

Record 4
VASP calculation (GGA-PBE) on Na2TaPd2O6 after structural relaxation.

Cell: 5.4009 5.4009 6.1352 Å, 103.20 103.20 113.75°
Last column: nearest neighbours and their distance in Å.
Fractional positions:
Na 0.1836 0.8164 0.0000  6 O 2.36-2.52
Na 0.8164 0.1836 0.0000  6 O 2.36-2.52
Ta 0.0000 0.0000 0.5000  6 O 1.99-2.12
Pd 0.3317 0.6683 0.5000  4 O 2.05-2.11
Pd 0.6683 0.3317 0.5000  4 O 2.05-2.11
O 0.0343 0.3567 0.7193  1 Ta 1.99, 1 Pd 2.05
O 0.2410 0.2410 0.3239  2 Pd 2.11, 1 Ta 2.12
O 0.3567 0.0343 0.7193  1 Ta 1.99, 1 Pd 2.05
O 0.6433 0.9657 0.2807  1 Ta 1.99, 1 Pd 2.05
O 0.7590 0.7590 0.6761  2 Pd 2.11, 1 Ta 2.12
O 0.9657 0.6433 0.2807  1 Ta 1.99, 1 Pd 2.05

ΔE_f (raw) in eV per atom, matching the order above: -1.06 -0.51 -1.35 -1.45
Magnetization in μB per atom, matching the order above: 0.18 0.00 0.00 0.09